Entry 1:
3
Lattice="0.000 3.375 3.375 3.375 0.000 3.375 3.375 3.375 0.000" Properties=species:S:1:pos:R:3 comment="ThZrPd PBE-GGA relaxed" formation_enthalpy_0k_mev_per_atom=433 relative_energy_mev_per_atom=506 total_magnetization_mub_per_cell=0.02 pbc="T T T"
Th 0.000 0.000 0.000
Zr 1.688 1.688 1.688
Pd 5.063 5.063 5.063


Entry 2:
8
Lattice="4.929 -3.824 0.000 4.929 3.824 0.000 -3.643 0.000 4.771" Properties=species:S:1:pos:R:3 comment="BaGeAu2S2O2 PBE-GGA relaxed" e_tot_ev_per_atom=-4.898 pbc="T T T"
Ba 0.000 0.000 0.000
Ge 4.929 -0.351 0.000
Au 3.108 1.276 2.385
Au 3.108 -1.579 2.385
S 0.873 1.076 3.054
S 5.343 1.076 1.717
O 3.581 -1.492 0.343
O 2.635 -1.492 4.428


Entry 3:
8
Lattice="3.646 0.000 0.000 -1.823 3.158 0.000 0.000 0.000 16.464" Properties=species:S:1:pos:R:3 comment="ErTm3B2Pb2 PBE-GGA relaxed" total_magnetization_mub_per_cell=0.04 e_tot_ev_per_atom=-5.072 pbc="T T T"
Er 0.000 0.000 0.000
Tm 0.000 0.000 5.322
Tm 0.000 2.105 8.225
Tm 0.000 2.105 13.538
B 1.823 1.053 6.773
B 1.823 1.053 14.994
Pb 0.000 0.000 10.884
Pb 0.000 2.105 2.667


Entry 4:
10
Lattice="4.455 0.000 0.000 0.000 6.863 2.329 0.000 -6.863 2.329" Properties=species:S:1:pos:R:3 comment="ZnTc PBE-GGA relaxed" formation_enthalpy_0k_mev_per_atom=84 relative_energy_mev_per_atom=114 total_magnetization_mub_per_cell=0.20 pbc="T T T"
Zn 0.000 0.000 0.000
Zn 0.000 -1.329 2.251
Zn 0.000 1.329 2.251
Zn 2.227 -1.331 4.009
Zn 2.227 1.331 4.009
Tc 0.000 -4.052 2.204
Tc 0.000 4.052 2.204
Tc 2.227 -2.755 1.756
Tc 2.227 0.000 1.625
Tc 2.227 2.755 1.756


Entry 5:
10
Lattice="7.786 0.000 0.000 0.000 7.786 0.000 0.000 0.000 4.239" Properties=species:S:1:pos:R:3 comment="PrSm2Si2 PBE-GGA relaxed" total_magnetization_mub_per_cell=0.35 e_tot_ev_per_atom=-5.636 pbc="T T T"
Pr 0.000 0.000 0.000
Pr 3.893 3.893 0.000
Sm 1.370 2.523 2.120
Sm 2.523 6.415 2.120
Sm 5.263 1.370 2.120
Sm 6.415 5.263 2.120
Si 0.866 4.759 0.000
Si 3.027 0.866 0.000
Si 4.759 6.919 0.000
Si 6.919 3.027 0.000


Entry 6:
30
Lattice="10.004 0.000 0.000 0.000 10.004 0.000 0.000 0.000 5.222" Properties=species:S:1:pos:R:3 comment="Ta7W8 PBE-GGA relaxed" formation_enthalpy_0k_mev_per_atom=104 relative_energy_mev_per_atom=77 total_magnetization_mub_per_cell=0.02 pbc="T T T"
Ta 0.000 0.000 0.000
Ta 0.645 2.625 0.000
Ta 1.072 1.072 2.611
Ta 2.377 5.648 2.611
Ta 2.625 0.645 0.000
Ta 3.930 6.074 0.000
Ta 4.357 7.628 2.611
Ta 5.002 5.002 2.611
Ta 5.648 2.377 2.611
Ta 6.074 3.930 0.000
Ta 7.379 9.359 0.000
Ta 7.628 4.357 2.611
Ta 8.932 8.932 2.611
Ta 9.359 7.379 0.000
W 0.349 3.739 2.611
W 1.263 5.351 0.000
W 1.843 8.162 1.311
W 1.843 8.162 3.912
W 3.159 3.159 1.300
W 3.159 3.159 3.922
W 3.739 0.349 2.611
W 4.653 8.741 0.000
W 5.351 1.263 0.000
W 6.266 9.655 2.611
W 6.845 6.845 1.300
W 6.845 6.845 3.922
W 8.162 1.843 1.311
W 8.162 1.843 3.912
W 8.741 4.653 0.000
W 9.655 6.266 2.611


Entry 7:
3
Lattice="0.000 3.251 3.251 3.251 0.000 3.251 3.251 3.251 0.000" Properties=species:S:1:pos:R:3 comment="PrTmB PBE-GGA relaxed" relative_energy_mev_per_atom=0 total_magnetization_mub_per_cell=0.06 pbc="T T T"
Pr 0.000 0.000 0.000
Tm 3.251 3.251 3.251
B 1.626 1.626 1.626


Entry 8:
2
Lattice="0.000 3.479 3.479 3.479 0.000 3.479 3.479 3.479 0.000" Properties=species:S:1:pos:R:3 comment="BaSm PBE-GGA relaxed" relative_energy_mev_per_atom=1268 total_magnetization_mub_per_cell=0.00 pbc="T T T"
Ba 0.000 0.000 0.000
Sm 5.219 5.219 5.219